Sb3Te | GGA-PBE | relaxed

* crystal system: trigonal
* theoretical density: 7.472 Mg/m³
* space group: R-3m
* excess energy over the best structure of this formula in the dataset: 0.833 eV/f.u.
* volume: 27.38 A^3/atom
* raw formation energy: 0.2224 eV per atom

Cell: 6.246 6.246 6.246 Å, 116.88 116.88 116.88°
Atoms (fractional coordinates):
Sb1 0.000 0.000 0.000
Sb2 0.500 0.000 0.500
Sb3 0.500 0.500 0.000
Te1 0.000 0.500 0.500